# 1
VASP calculation (SCAN) on a crystal of TiSe2BrCl relaxed with PBEsol.

Unit cell a=4.877 b=4.877 c=4.927 alpha=90.00 beta=90.00 gamma=90.00
Space group P4/mmm (No. 123)
One atom of each set of equivalent atoms:
Ti: 0.000 0.000 0.000 x1
Se: 0.000 0.500 0.000 x2
Br: 0.000 0.000 0.500 x1
Cl: 0.500 0.500 0.500 x1

---

# 2
VASP calculation (SCAN) on a crystal of YSeBr2Cl relaxed with PBEsol.

Unit cell a=5.040 b=5.040 c=5.256 alpha=90.00 beta=90.00 gamma=90.00
Space group P4/mmm (No. 123)
One atom of each set of equivalent atoms:
Y: 0.000 0.000 0.000 x1
Se: 0.500 0.500 0.000 x1
Br: 0.000 0.500 0.500 x2
Cl: 0.500 0.500 0.500 x1

---

# 3
VASP calculation (SCAN) on a crystal of ZrSeBr2Cl relaxed with PBEsol.

Unit cell a=5.177 b=5.177 c=5.194 alpha=90.00 beta=90.00 gamma=90.00
Space group P4/mmm (No. 123)
One atom of each set of equivalent atoms:
Zr: 0.000 0.000 0.000 x1
Se: 0.000 0.000 0.500 x1
Br: 0.000 0.500 0.000 x2
Cl: 0.500 0.500 0.500 x1

---

# 4
VASP calculation (SCAN) on a crystal of Si3BrCl relaxed with PBEsol.

Unit cell a=5.057 b=5.057 c=5.057 alpha=90.00 beta=90.00 gamma=90.00
Space group Pm-3m (No. 221)
One atom of each set of equivalent atoms:
Si: 0.000 0.000 0.500 x3
Br: 0.000 0.000 0.000 x1
Cl: 0.500 0.500 0.500 x1

---

# 5
VASP calculation (SCAN) on a crystal of SnBrCl3 relaxed with PBEsol.

Unit cell a=5.194 b=5.194 c=5.194 alpha=90.00 beta=90.00 gamma=90.00
Space group Pm-3m (No. 221)
One atom of each set of equivalent atoms:
Sn: 0.000 0.000 0.000 x1
Br: 0.500 0.500 0.500 x1
Cl: 0.000 0.500 0.500 x3

---

# 6
VASP calculation (SCAN) on a crystal of SnBrCl2 relaxed with PBEsol.

Unit cell a=3.2502 b=3.2502 c=33.4150 alpha=90.00 beta=90.00 gamma=120.00
Space group R-3m (No. 166, hexagonal axes)
One atom of each set of equivalent atoms:
Sn: 0.0000 0.0000 0.0000 x3
Br: 0.0000 0.0000 0.5000 x3
Cl: 0.0000 0.0000 0.0705 x6

---

# 7
VASP calculation (SCAN) on a crystal of SrBr2Cl relaxed with PBEsol.

Computed properties:
- energy above the most stable polymorph in this dataset (meV/atom) = 199

Unit cell a=4.7326 b=4.7326 c=25.2551 alpha=90.00 beta=90.00 gamma=120.00
Space group R-3m (No. 166, hexagonal axes)
One atom of each set of equivalent atoms:
Sr: 0.0000 0.0000 0.0000 x3
Br: 0.0000 0.0000 0.3876 x6
Cl: 0.0000 0.0000 0.5000 x3

---

# 8
VASP calculation (SCAN) on a crystal of Sr5Br8Cl2 relaxed with PBEsol.

Unit cell a=11.365 b=11.365 c=6.939 alpha=90.00 beta=90.00 gamma=90.00
Space group P4/n (No. 85, origin choice 2)
One atom of each set of equivalent atoms:
Sr: 0.096 0.894 0.249 x8
Sr: 0.250 0.250 0.137 x2
Br: 0.036 0.159 0.371 x8
Br: 0.040 0.340 0.890 x8
Cl: 0.250 0.750 0.000 x2
Cl: 0.250 0.750 0.500 x2

---

# 9
VASP calculation (SCAN) on a crystal of SrBr2Cl relaxed with PBEsol.

Computed properties:
- energy above the most stable polymorph in this dataset (meV/atom) = 0

Unit cell a=5.178 b=5.294 c=5.355 alpha=90.00 beta=117.51 gamma=90.00
Space group Pm (No. 6)
One atom of each set of equivalent atoms:
Sr: 0.000 0.000 0.000 x1
Br: 0.176 0.500 0.790 x1
Br: 0.663 0.000 0.346 x1
Cl: 0.142 0.500 0.279 x1

---

# 10
VASP calculation (SCAN) on a crystal of SrBr2Cl relaxed with PBEsol.

Computed properties:
- energy above the most stable polymorph in this dataset (meV/atom) = 156

Unit cell a=4.370 b=4.370 c=23.349 alpha=90.00 beta=90.00 gamma=90.00
Space group I-42d (No. 122)
One atom of each set of equivalent atoms:
Sr: 0.000 0.000 0.000 x4
Br: 0.242 0.250 0.125 x8
Cl: 0.000 0.000 0.500 x4

---

# 11
VASP calculation (SCAN) on a crystal of SrBr2Cl relaxed with PBEsol.

Computed properties:
- energy above the most stable polymorph in this dataset (meV/atom) = 127

Unit cell a=5.5027 b=5.5027 c=12.1882 alpha=90.00 beta=90.00 gamma=120.00
Space group R-3m (No. 166, hexagonal axes)
One atom of each set of equivalent atoms:
Sr: 0.0000 0.0000 0.0000 x3
Br: 0.0000 0.0000 0.2664 x6
Cl: 0.0000 0.0000 0.5000 x3

---

# 12
VASP calculation (SCAN) on a crystal of SrBr4Cl relaxed with PBEsol.

Unit cell a=8.585 b=8.585 c=8.585 alpha=90.00 beta=90.00 gamma=90.00
Space group F-43m (No. 216)
One atom of each set of equivalent atoms:
Sr: 0.000 0.000 0.000 x4
Br: 0.125 0.125 0.625 x16
Cl: 0.250 0.250 0.250 x4

---

| no. | calculated total energy (eV for the cell shown) | raw formation energy (eV per atom) |
| --- | --- | --- |
| 1 | -85.7 | -0.4131 |
| 2 | -95.1 | -0.0609 |
| 3 | -101.8 | -0.8316 |
| 4 | -49.7 | 1.5623 |
| 5 | -78.2 | 0.2272 |
| 6 | -214.8 | -0.0658 |
| 7 | -225.2 | -1.4771 |
| 8 | -639.8 | -2.4591 |
| 9 | -75.9 | -1.6764 |
| 10 | -301.0 | -1.5208 |
| 11 | -226.1 | -1.5494 |
| 12 | -448.0 | -0.6532 |